! AlPbN2F (PBE-GGA, relaxed); values from VASP
&SYSTEM
  ibrav = 0, nat = 5, ntyp = 4
/
ATOMIC_SPECIES
Al 26.98 Al.upf
Pb 207.20 Pb.upf
N 14.01 N.upf
F 19.00 F.upf
CELL_PARAMETERS angstrom
4.3538 0.0000 0.0000
0.0000 4.3538 0.0000
0.0000 0.0000 4.4198
ATOMIC_POSITIONS crystal
Al 0.0000 0.0000 0.0000
Pb 0.5000 0.5000 0.5000
N 0.0000 0.5000 0.5000
N 0.5000 0.0000 0.5000
F 0.5000 0.5000 0.0000
! * E above lowest polymorph: 1353 meV/atom
! * ΔE_f (raw): 0.895 eV per atom

---

! AlPbN2F (PBE-GGA, relaxed); values from VASP
&SYSTEM
  ibrav = 0, nat = 5, ntyp = 4
/
ATOMIC_SPECIES
Al 26.98 Al.upf
Pb 207.20 Pb.upf
N 14.01 N.upf
F 19.00 F.upf
CELL_PARAMETERS angstrom
3.9555 0.0000 0.0000
0.0000 3.9555 0.0000
0.0000 0.0000 3.8096
ATOMIC_POSITIONS crystal
Al 0.0000 0.0000 0.0000
Pb 0.5000 0.5000 0.5000
N 0.0000 0.5000 0.0000
N 0.5000 0.0000 0.0000
F 0.0000 0.0000 0.5000
! * E above lowest polymorph: 0 meV/atom
! * ΔE_f (raw): -0.458 eV per atom

---

! AlPdN2F (PBE-GGA, relaxed); values from VASP
&SYSTEM
  ibrav = 0, nat = 5, ntyp = 4
/
ATOMIC_SPECIES
Al 26.98 Al.upf
Pd 106.42 Pd.upf
N 14.01 N.upf
F 19.00 F.upf
CELL_PARAMETERS angstrom
3.8708 0.0000 0.0000
0.0000 3.8708 0.0000
0.0000 0.0000 3.5223
ATOMIC_POSITIONS crystal
Al 0.0000 0.0000 0.0000
Pd 0.5000 0.5000 0.5000
N 0.0000 0.5000 0.0000
N 0.5000 0.0000 0.0000
F 0.0000 0.0000 0.5000
! * E above lowest polymorph: 0 meV/atom
! * ΔE_f (raw): -0.049 eV per atom